No. 1
## LiErGe (GGA-PBE)

Data for a relaxed structure of LiErGe.

Excess energy over the best structure of this formula in the dataset = 0.06 eV/f.u.
Space group = Pnma (62)
Volume = 19.7 A^3/atom

abc: 7.0657 4.2420 7.8879
angles: 90.00 90.01 90.00
Closest atoms and distances in Å follow each position.
Sites, in units of the cell vectors:
Ge (0.7611, 0.7500, 0.6089)  4 Li 2.60-2.76
Li (0.8511, 0.2500, 0.4361)  4 Ge 2.60-2.76
Ge (0.7389, 0.2500, 0.1087)  4 Li 2.60-2.77
Li (0.6492, 0.7500, 0.9362)  4 Ge 2.60-2.77
Er (0.9825, 0.2500, 0.8030)  5 Ge 2.96-3.05, 4 Li 3.04-3.32
Ge (0.2611, 0.7500, 0.8913)  4 Li 2.60-2.77
Er (0.5175, 0.7500, 0.3029)  5 Ge 2.96-3.05, 3 Li 3.04-3.07
Li (0.3508, 0.2500, 0.0638)  4 Ge 2.60-2.77
Er (0.0175, 0.7500, 0.1970)  5 Ge 2.96-3.05, 4 Li 3.04-3.32
Li (0.1489, 0.7500, 0.5639)  4 Ge 2.60-2.76
Ge (0.2389, 0.2500, 0.3911)  4 Li 2.60-2.76
Er (0.4825, 0.2500, 0.6971)  5 Ge 2.96-3.05, 3 Li 3.04-3.07

No. 2
## KBePd (GGA-PBE)

Data for a relaxed structure of KBePd.

Excess energy over the best structure of this formula in the dataset = 1.92 eV/f.u.
Space group = F-43m (216)
Volume = 27.3 A^3/atom

abc: 4.8724 4.8724 4.8724
angles: 60.00 60.00 60.00
Closest atoms and distances in Å follow each position.
Sites, in units of the cell vectors:
Be (0.2500, 0.2500, 0.2500)  4 K 2.98
K (0.0000, 0.0000, 0.0000)  4 Pd 2.98, 4 Be 2.98
Pd (0.7500, 0.7500, 0.7500)  4 K 2.98